The following is a PBE calculation of crystalline LiLa2Zn2Rh5 at its relaxed geometry, from the Alexandria database.

a = 3.755 Å, b = 9.718 Å, c = 9.718 Å
α = 90.00°, β = 90.00°, γ = 90.00°
Positions (direct):
Zn 0.000 0.621 0.879
Zn 0.000 0.379 0.121
Zn 0.000 0.121 0.621
Zn 0.000 0.879 0.379
La 0.000 0.678 0.178
La 0.000 0.822 0.678
La 0.000 0.178 0.322
La 0.000 0.322 0.822
Rh 0.500 0.000 0.500
Rh 0.500 0.433 0.296
Rh 0.500 0.704 0.433
Rh 0.500 0.933 0.204
Rh 0.500 0.500 0.000
Rh 0.500 0.204 0.067
Rh 0.500 0.796 0.933
Rh 0.500 0.296 0.567
Rh 0.500 0.567 0.704
Rh 0.500 0.067 0.796
Li 0.000 0.000 0.000
Li 0.000 0.500 0.500

Values from the calculation:
Crystal system   tetragonal
Formation energy   -0.43 eV per atom
Space group   P4/mbm (127)
DOS at the Fermi energy   5.7 states/eV/f.u.



The following is a PBE calculation of crystalline Cs2LiTeSe4 at its relaxed geometry, from the Alexandria database.

a = 6.418 Å, b = 8.122 Å, c = 13.457 Å
α = 84.59°, β = 76.20°, γ = 66.73°
Positions (direct):
Te 0.250 0.500 0.500
Te 0.500 0.000 0.000
Cs 0.571 0.500 0.858
Cs 0.821 0.000 0.358
Cs 0.179 0.000 0.642
Cs 0.929 0.500 0.142
Li 0.750 0.500 0.500
Li 0.000 0.000 0.000
Se 0.205 0.206 0.895
Se 0.850 0.706 0.605
Se 0.589 0.206 0.105
Se 0.306 0.794 0.105
Se 0.161 0.294 0.395
Se 0.900 0.794 0.895
Se 0.444 0.706 0.395
Se 0.545 0.294 0.605

Values from the calculation:
Crystal system   orthorhombic
Formation energy from raw total energies   -0.673 eV/atom
Space group   Fddd (70)
DOS at the Fermi energy   4.0 states/eV/f.u.



The following is a PBE calculation of crystalline Na3In4Hg at its relaxed geometry, from the Alexandria database.

a = 3.445 Å, b = 5.323 Å, c = 12.270 Å
α = 89.78°, β = 98.07°, γ = 90.00°
Positions (direct):
Hg 0.500 0.000 0.000
Na 0.000 0.500 0.000
Na 0.860 0.789 0.720
Na 0.140 0.211 0.280
In 0.725 0.751 0.451
In 0.397 0.290 0.794
In 0.275 0.249 0.549
In 0.603 0.710 0.206

Values from the calculation:
Crystal system   monoclinic
Formation energy   -0.08 eV per atom
Space group   C2/m (12)
DOS at the Fermi energy   3.7 states/eV/f.u.



The following is a PBE calculation of crystalline YZrP2Cl at its relaxed geometry, from the Alexandria database.

a = 5.255 Å, b = 5.255 Å, c = 4.861 Å
α = 90.00°, β = 90.00°, γ = 90.00°
Positions (direct):
P 0.000 0.500 0.000
P 0.500 0.000 0.000
Cl 0.000 0.000 0.500
Y 0.000 0.000 0.000
Zr 0.500 0.500 0.500

Values from the calculation:
Energy above the most stable polymorph in this dataset   715 meV per atom
Crystal system   tetragonal
Formation energy from raw total energies   0.042 eV/atom
Space group   P4/mmm (123)
DOS at the Fermi energy   4.2 states/eV/f.u.



The following is a PBE calculation of crystalline Ce4Sn2N at its relaxed geometry, from the Alexandria database.

a = 3.366 Å, b = 5.088 Å, c = 12.086 Å
α = 102.15°, β = 90.00°, γ = 90.00°
Positions (direct):
Sn 0.500 0.160 0.320
Sn 0.500 0.840 0.680
N 0.000 0.500 0.000
Ce 0.500 0.430 0.861
Ce 0.000 0.285 0.570
Ce 0.500 0.570 0.139
Ce 0.000 0.715 0.430

Values from the calculation:
Crystal system   orthorhombic
Formation energy from raw total energies   -0.522 eV/atom
Space group   Cmmm (65)
DOS at the Fermi energy   19.0 states/eV/f.u.



The following is a PBE calculation of crystalline VTeS3 at its relaxed geometry, from the Alexandria database.

a = 4.624 Å, b = 4.624 Å, c = 4.624 Å
α = 90.00°, β = 90.00°, γ = 90.00°
Positions (direct):
Te 0.500 0.500 0.500
V 0.000 0.000 0.000
S 0.000 0.000 0.500
S 0.500 0.000 0.000
S 0.000 0.500 0.000

Values from the calculation:
Energy above the most stable polymorph in this dataset   0 meV per atom
Crystal system   cubic
Formation energy from raw total energies   -0.003 eV/atom
Space group   Pm-3m (221)
DOS at the Fermi energy   3.9 states/eV/f.u.